# 1
Crystalline CeEr3Tl3Se8 at its relaxed geometry, computed with PBE.

Output
- calculated density (g/cm³) = 6.7
- E_form (uncorrected) (meV/atom) = -1426
- magnetic moment (μB per cell) = 0.1
- space group = R-3m

a b c (Å): 8.3018 8.3015 9.1603
angles (deg): 116.96 90.00 120.00
Site moments in Bohr magnetons follow the coordinates.
Positions (direct):
Er1 0.5000 0.0000 0.5000  0.00
Er2 0.0000 0.5000 0.5000  0.00
Er3 0.5000 0.5000 0.5000  0.00
Se1 0.7319 0.9667 0.7014  -0.01
Se2 0.7652 0.0333 0.2986  -0.01
Se3 0.7340 0.4680 0.7019  0.00
Se4 0.2681 0.0333 0.2986  -0.01
Se5 0.2348 0.9667 0.7014  -0.01
Se6 0.2348 0.4696 0.7014  -0.01
Se7 0.7652 0.5304 0.2986  -0.01
Se8 0.2660 0.5320 0.2981  0.00
Tl1 0.5000 0.5000 0.0000  0.00
Tl2 0.0000 0.0000 0.0000  0.00
Tl3 0.0000 0.5000 0.0000  0.00
Ce1 0.0000 0.0000 0.5000  0.16

=====

# 2
Crystalline Ce3ErTm2Se6 at its relaxed geometry, computed with PBE.

Output
- calculated density (g/cm³) = 7.9
- E_form (uncorrected) (meV/atom) = -1765
- magnetic moment (μB per cell) = 3.0
- space group = C2/m

a b c (Å): 7.0446 7.0446 7.2673
angles (deg): 99.31 99.31 120.04
Site moments in Bohr magnetons follow the coordinates.
Positions (direct):
Se1 0.4122 0.0777 0.2331  -0.01
Se2 0.0777 0.4122 0.2331  -0.01
Se3 0.9223 0.5878 0.7669  -0.01
Se4 0.2571 0.2571 0.7674  -0.01
Se5 0.5878 0.9223 0.7669  -0.01
Se6 0.7429 0.7429 0.2326  -0.01
Tm1 0.6667 0.3333 0.0000  -0.02
Tm2 0.3333 0.6667 0.0000  -0.02
Ce1 0.1661 0.8339 0.5000  0.85
Ce2 0.8339 0.1661 0.5000  0.85
Ce3 0.5000 0.5000 0.5000  0.85
Er1 0.0000 0.0000 0.0000  -0.02

=====

# 3
Crystalline CeEr2TmSe4 at its relaxed geometry, computed with PBE.

Output
- calculated density (g/cm³) = 8.3
- E_form (uncorrected) (meV/atom) = -1719
- magnetic moment (μB per cell) = 1.0
- space group = P2/m

a b c (Å): 4.0338 7.0944 7.0598
angles (deg): 108.93 90.00 90.00
Site moments in Bohr magnetons follow the coordinates.
Positions (direct):
Tm1 0.0000 0.0000 0.0000  0.02
Ce1 0.5000 0.5000 0.0000  0.74
Se1 0.5000 0.7562 0.7467  0.00
Se2 0.5000 0.2438 0.2533  0.00
Se3 0.0000 0.7606 0.2591  0.00
Se4 0.0000 0.2394 0.7409  0.00
Er1 0.5000 0.0000 0.5000  0.00
Er2 0.0000 0.5000 0.5000  0.03

=====

> The highest magnetic moment belongs to which entry?

Ce3ErTm2Se6

=====

> What is the E_form (uncorrected) in the second record?

-1765 meV/atom

=====

> Number 2 is which compound?

Ce3ErTm2Se6

=====

> What is the formula in the first record?

CeEr3Tl3Se8